This record from Alexandria via LeMat-Bulk describes a geometry-optimized LaPrSm2Ho2 structure. The functional is PBE.

abc: 6.615 18.296 3.432
angles: 90.00 90.00 90.00
Positions (direct):
La 0.000 0.000 0.000
La 0.500 0.500 0.500
Pr 0.000 0.500 0.000
Pr 0.500 0.000 0.500
Sm 0.218 0.189 0.000
Sm 0.282 0.689 0.500
Sm 0.718 0.311 0.500
Sm 0.782 0.811 0.000
Ho 0.217 0.352 0.500
Ho 0.283 0.852 0.000
Ho 0.717 0.148 0.000
Ho 0.783 0.648 0.500

Results
Symmetry: Pnnm, No. 58
Theoretical density in Mg/m³: 7.28
E_form in meV/atom: 262
Total DFT energy (no corrections) in eV/atom: -4.4543

This record from Alexandria via LeMat-Bulk describes a geometry-optimized LaPrSmHo2 structure. The functional is PBE.

abc: 7.219 7.219 7.237
angles: 90.00 90.00 107.74
Positions (direct):
La 0.234 0.766 0.750
La 0.766 0.234 0.250
Pr 0.500 0.500 0.250
Pr 0.500 0.500 0.750
Sm 0.221 0.779 0.250
Sm 0.779 0.221 0.750
Ho 0.187 0.187 0.000
Ho 0.187 0.187 0.500
Ho 0.813 0.813 0.000
Ho 0.813 0.813 0.500

Results
Symmetry: Cmcm, No. 63
Theoretical density in Mg/m³: 7.03
E_form in meV/atom: 340
Total DFT energy (no corrections) in eV/atom: -4.3760

This record from Alexandria via LeMat-Bulk describes a geometry-optimized LaPr4SmHo2 structure. The functional is PBE.

abc: 6.339 3.678 12.092
angles: 90.00 100.24 90.00
Positions (direct):
La 0.000 0.000 0.000
Pr 0.250 0.000 0.746
Pr 0.251 0.500 0.256
Pr 0.749 0.500 0.744
Pr 0.750 0.000 0.254
Sm 0.500 0.500 0.000
Ho 0.000 0.500 0.500
Ho 0.500 0.000 0.500

Results
Symmetry: P2/m, No. 10
Theoretical density in Mg/m³: 7.08
E_form in meV/atom: 18
Total DFT energy (no corrections) in eV/atom: -4.7215